No. 1
First-principles (GGA-PBE) data for a geometry-optimized LiTi3Tl structure, as listed in Alexandria via LeMat-Bulk.

## Properties
Fermi-level density of states ... 1.02 states/eV per atom
Volume ... 91 Å³/cell
Space-group type ... Pm-3m, No. 221
E_form ... 0.687 eV per atom

Lattice parameters (Å, degrees): 4.4981 4.4981 4.4981 90.00 90.00 90.00
Sites, in units of the cell vectors:
Ti 0.5000 0.0000 0.0000
Ti 0.0000 0.5000 0.0000
Ti 0.0000 0.0000 0.5000
Tl 0.5000 0.5000 0.5000
Li 0.0000 0.0000 0.0000



No. 2
First-principles (GGA-PBE) data for a geometry-optimized LiTiTl structure, as listed in Alexandria via LeMat-Bulk.

## Properties
Fermi-level density of states ... 0.42 states/eV per atom
Volume ... 124 Å³/cell
Space-group type ... P4/nmm, No. 129
E_form ... 0.450 eV per atom

Lattice parameters (Å, degrees): 4.2596 4.2596 6.8313 90.00 90.00 90.00
Sites, in units of the cell vectors:
Ti 0.5000 0.0000 0.1557
Ti 0.0000 0.5000 0.8443
Li 0.5000 0.0000 0.7599
Li 0.0000 0.5000 0.2401
Tl 0.0000 0.0000 0.5000
Tl 0.5000 0.5000 0.5000



No. 3
First-principles (GGA-PBE) data for a geometry-optimized LiTiTl structure, as listed in Alexandria via LeMat-Bulk.

## Properties
Fermi-level density of states ... 0.81 states/eV per atom
Volume ... 116 Å³/cell
Space-group type ... P-1, No. 2
E_form ... 0.012 eV per atom

Lattice parameters (Å, degrees): 5.0619 3.0393 8.1833 79.16 102.21 107.65
Sites, in units of the cell vectors:
Ti 0.7293 0.8301 0.0702
Ti 0.2707 0.1699 0.9298
Li 0.2604 0.8399 0.5797
Li 0.7396 0.1601 0.4203
Tl 0.7626 0.5094 0.7440
Tl 0.2374 0.4906 0.2560